Entry 1:
## Nd5Mg4Al4 (PBE-GGA)

Data for a relaxed structure of Nd5Mg4Al4.

a b c (Å): 8.9815 8.9815 8.9815
angles (deg): 93.72 93.72 150.48
Fractional positions:
1 Nd 0.0000 0.0000 0.0000
2 Nd 0.2971 0.6314 0.9285
3 Nd 0.3686 0.2971 0.6657
4 Nd 0.6314 0.7029 0.3343
5 Nd 0.7029 0.3686 0.0715
6 Mg 0.1058 0.4206 0.5264
7 Mg 0.4206 0.8942 0.3148
8 Mg 0.5794 0.1058 0.6852
9 Mg 0.8942 0.5794 0.4736
10 Al 0.0570 0.7470 0.8040
11 Al 0.2530 0.0570 0.3100
12 Al 0.7470 0.9430 0.6900
13 Al 0.9430 0.2530 0.1960

Computed properties:
Calculated volume: 345.22 Å³ per cell
Mass density: 4.46 g/cm3
Formation enthalpy at 0 K: -0.23 eV per atom

=====

Entry 2:
## KZnSn3 (PBE-GGA)

Data for a relaxed structure of KZnSn3.

a b c (Å): 6.6494 6.6494 7.7916
angles (deg): 109.19 109.19 75.21
Fractional positions:
1 K 0.2098 0.2098 0.1019
2 K 0.7902 0.7902 0.8981
3 Zn 0.5000 0.5000 0.0000
4 Zn 0.5000 0.5000 0.5000
5 Sn 0.2000 0.7372 0.6815
6 Sn 0.2243 0.2243 0.6369
7 Sn 0.2628 0.8000 0.3185
8 Sn 0.7372 0.2000 0.6815
9 Sn 0.7757 0.7757 0.3631
10 Sn 0.8000 0.2628 0.3185

Computed properties:
Calculated volume: 303.06 Å³ per cell
ΔE to the lowest computed polymorph: 0.134 eV/atom
Mass density: 5.05 g/cm3
Formation enthalpy at 0 K: -0.01 eV per atom

=====

Entry 3:
## CaThMgPb (PBE-GGA)

Data for a relaxed structure of CaThMgPb.

a b c (Å): 5.5061 5.5061 5.5061
angles (deg): 60.00 60.00 60.00
Fractional positions:
1 Ca 0.0000 0.0000 0.0000
2 Th 0.5000 0.5000 0.5000
3 Mg 0.2500 0.2500 0.2500
4 Pb 0.7500 0.7500 0.7500

Computed properties:
Calculated volume: 118.04 Å³ per cell
Mass density: 7.08 g/cm3
Formation enthalpy at 0 K: -0.11 eV per atom

=====

Entry 4:
## RbSnBi3 (PBE-GGA)

Data for a relaxed structure of RbSnBi3.

a b c (Å): 5.9749 5.9749 5.9749
angles (deg): 90.00 90.00 90.00
Fractional positions:
1 Rb 0.0000 0.0000 0.0000
2 Sn 0.5000 0.5000 0.5000
3 Bi 0.0000 0.5000 0.5000
4 Bi 0.5000 0.0000 0.5000
5 Bi 0.5000 0.5000 0.0000

Computed properties:
Calculated volume: 213.30 Å³ per cell
ΔE to the lowest computed polymorph: 0.345 eV/atom
Mass density: 6.47 g/cm3
Formation enthalpy at 0 K: 0.27 eV per atom

=====

Entry 5:
## BaSrBe2F8 (PBE-GGA)

Data for a relaxed structure of BaSrBe2F8.

a b c (Å): 4.9003 4.9003 8.6057
angles (deg): 91.60 91.60 67.27
Fractional positions:
1 Ba 0.0000 0.0000 0.0000
2 Sr 0.0000 0.0000 0.5000
3 Be 0.3946 0.3946 0.7414
4 Be 0.6054 0.6054 0.2586
5 F 0.2592 0.7373 0.2642
6 F 0.2627 0.7408 0.7358
7 F 0.2876 0.2876 0.5876
8 F 0.3100 0.3100 0.9022
9 F 0.6900 0.6900 0.0978
10 F 0.7124 0.7124 0.4124
11 F 0.7373 0.2592 0.2642
12 F 0.7408 0.2627 0.7358

Computed properties:
Calculated volume: 190.49 Å³ per cell
E_tot: -5.780 eV/atom
Mass density: 3.44 g/cm3

=====

Entry 6:
## Pm4Nd2Cd (PBE-GGA)

Data for a relaxed structure of Pm4Nd2Cd.

a b c (Å): 8.6953 8.6953 8.6948
angles (deg): 116.70 116.70 23.68
Fractional positions:
1 Pm 0.0805 0.0805 0.2015
2 Pm 0.3724 0.3724 0.1135
3 Pm 0.6276 0.6276 0.8865
4 Pm 0.9195 0.9195 0.7985
5 Nd 0.2176 0.2176 0.6412
6 Nd 0.7824 0.7824 0.3588
7 Cd 0.0000 0.0000 0.5000

Computed properties:
Calculated volume: 234.55 Å³ per cell
ΔE to the lowest computed polymorph: 0.058 eV/atom
Mass density: 6.94 g/cm3
Formation enthalpy at 0 K: 0.03 eV per atom

=====

Entry 7:
## GdBRu3 (PBE-GGA)

Data for a relaxed structure of GdBRu3.

a b c (Å): 4.2219 4.2219 4.2219
angles (deg): 90.00 90.00 90.00
Fractional positions:
1 Gd 0.0000 0.0000 0.0000
2 B 0.5000 0.5000 0.5000
3 Ru 0.0000 0.5000 0.5000
4 Ru 0.5000 0.0000 0.5000
5 Ru 0.5000 0.5000 0.0000

Computed properties:
Calculated volume: 75.25 Å³ per cell
Mass density: 10.40 g/cm3
Formation enthalpy at 0 K: -0.26 eV per atom

=====

Entry 8:
## HfAsS2Cl (PBE-GGA)

Data for a relaxed structure of HfAsS2Cl.

a b c (Å): 4.9812 4.9812 4.9542
angles (deg): 90.00 90.00 90.00
Fractional positions:
1 Hf 0.0000 0.0000 0.0000
2 As 0.5000 0.5000 0.5000
3 S 0.0000 0.5000 0.0000
4 S 0.5000 0.0000 0.0000
5 Cl 0.0000 0.0000 0.5000

Computed properties:
Calculated volume: 122.93 Å³ per cell
ΔE to the lowest computed polymorph: 0.000 eV/atom
Mass density: 4.77 g/cm3

=====

Entry 9:
## TaOs5 (PBE-GGA)

Data for a relaxed structure of TaOs5.

a b c (Å): 5.0681 5.0681 4.4389
angles (deg): 90.00 90.00 120.00
Fractional positions:
1 Ta 0.0000 0.0000 0.0000
2 Os 0.0000 0.5000 0.5000
3 Os 0.3333 0.6667 0.0000
4 Os 0.5000 0.0000 0.5000
5 Os 0.5000 0.5000 0.5000
6 Os 0.6667 0.3333 0.0000

Computed properties:
Calculated volume: 98.74 Å³ per cell
ΔE to the lowest computed polymorph: 0.668 eV/atom
Mass density: 19.04 g/cm3
Formation enthalpy at 0 K: 0.59 eV per atom

=====

Entry 10:
## Li2HgBr (PBE-GGA)

Data for a relaxed structure of Li2HgBr.

a b c (Å): 5.0211 5.0211 5.0211
angles (deg): 60.00 60.00 60.00
Fractional positions:
1 Li 0.2500 0.2500 0.2500
2 Li 0.7500 0.7500 0.7500
3 Hg 0.0000 0.0000 0.0000
4 Br 0.5000 0.5000 0.5000

Computed properties:
Calculated volume: 89.51 Å³ per cell
ΔE to the lowest computed polymorph: 0.204 eV/atom
Mass density: 5.46 g/cm3

=====

Entry 11:
## Dy2TiSi2Rh5 (PBE-GGA)

Data for a relaxed structure of Dy2TiSi2Rh5.

a b c (Å): 9.6868 9.6868 3.5151
angles (deg): 90.00 90.00 90.00
Fractional positions:
1 Dy 0.1743 0.3257 0.0000
2 Dy 0.3257 0.8257 0.0000
3 Dy 0.6743 0.1743 0.0000
4 Dy 0.8257 0.6743 0.0000
5 Ti 0.0000 0.0000 0.0000
6 Ti 0.5000 0.5000 0.0000
7 Si 0.1235 0.6235 0.0000
8 Si 0.3765 0.1235 0.0000
9 Si 0.6235 0.8765 0.0000
10 Si 0.8765 0.3765 0.0000
11 Rh 0.0000 0.5000 0.5000
12 Rh 0.0683 0.7899 0.5000
13 Rh 0.2101 0.0683 0.5000
14 Rh 0.2899 0.5683 0.5000
15 Rh 0.4317 0.2899 0.5000
16 Rh 0.5000 0.0000 0.5000
17 Rh 0.5683 0.7101 0.5000
18 Rh 0.7101 0.4317 0.5000
19 Rh 0.7899 0.9317 0.5000
20 Rh 0.9317 0.2101 0.5000

Computed properties:
Calculated volume: 329.84 Å³ per cell
E_tot: -7.419 eV/atom
Mass density: 9.50 g/cm3

=====

Entry 12:
## RuPt2Se (PBE-GGA)

Data for a relaxed structure of RuPt2Se.

a b c (Å): 8.8206 8.8206 8.8206
angles (deg): 18.99 18.99 18.99
Fractional positions:
1 Ru 0.0000 0.0000 0.0000
2 Pt 0.5078 0.5078 0.5078
3 Pt 0.7526 0.7526 0.7526
4 Se 0.2642 0.2642 0.2642

Computed properties:
Calculated volume: 63.53 Å³ per cell
E_tot: -6.067 eV/atom
Mass density: 14.90 g/cm3

=====

| no. | D(E_F) (states/eV/f.u.) |
| --- | --- |
| 1 | 12.594 |
| 2 | 2.296 |
| 3 | 4.117 |
| 4 | 5.943 |
| 5 | 0.000 |
| 6 | 8.630 |
| 7 | 8.138 |
| 8 | 3.080 |
| 9 | 10.807 |
| 10 | 1.378 |
| 11 | 3.286 |
| 12 | 5.238 |